A geometry-optimized Ta7Zn structure. Source: Alexandria via LeMat-Bulk, functional PBE.

Results
E_form   0.177 eV/atom
SG   Fm-3m (225)

Structure (POSCAR):
```
Ta7Zn
1.0
-0.590 -5.504 2.041
-0.910 -0.931 5.754
-5.258 -1.899 1.885
Ta Zn
7 1
Direct
0.000 0.500 0.000 Ta
0.000 0.000 0.500 Ta
0.500 0.000 0.500 Ta
0.500 0.000 0.000 Ta
0.500 0.500 0.000 Ta
0.000 0.500 0.500 Ta
0.500 0.500 0.500 Ta
0.000 0.000 0.000 Zn
```